Ti8Al2Rh (GGA-PBE, relaxed); space-group type = No. 123; calculated formation energy = -235 meV/atom; magnetic moment = 0.007 μB/f.u.; volume = 17.04 Å³/atom; offset from the most stable computed form = 35 meV/atom; crystal system = tetragonal
1.0
-1.830 -2.344 -2.777
3.481 -2.022 -0.587
-2.901 -7.349 8.115
Ti Al Rh
8 2 1
Cartesian
0.290 -4.686 3.764 Ti
-2.366 -4.846 2.669 Ti
-0.097 -4.521 0.900 Ti
-1.153 -7.194 3.852 Ti
1.319 -2.080 0.887 Ti
-1.337 -2.240 -0.208 Ti
-0.739 -7.291 6.642 Ti
-3.394 -7.452 5.547 Ti
-0.929 -2.353 2.599 Al
-1.972 -4.996 5.517 Al
0.000 0.000 0.000 Rh

=====

Ti6AlRh (GGA-PBE, relaxed); space-group type = No. 38; calculated formation energy = -243 meV/atom; magnetic moment = 0.008 μB/f.u.; volume = 16.35 Å³/atom; offset from the most stable computed form = 4 meV/atom; crystal system = orthorhombic
1.0
-2.408 -3.962 -0.429
4.450 -2.901 1.815
-3.631 1.785 3.891
Ti Al Rh
6 1 1
Cartesian
-1.035 0.437 1.770 Ti
-0.632 -0.111 4.575 Ti
1.143 -0.983 2.665 Ti
0.213 -2.953 0.812 Ti
0.647 -3.544 3.837 Ti
2.419 -4.402 1.813 Ti
-1.490 -2.135 2.818 Al
-2.806 1.306 3.679 Rh

=====

Ti12Al3Rh (GGA-PBE, relaxed); space-group type = No. 123; calculated formation energy = -262 meV/atom; magnetic moment = 0.000 μB/f.u.; volume = 16.41 Å³/atom; crystal system = tetragonal
1.0
-0.738 -3.215 -2.251
2.058 -2.267 2.563
-13.777 -2.832 8.560
Ti Al Rh
12 3 1
Cartesian
0.660 -2.741 0.156 Ti
-2.773 -3.447 2.289 Ti
-6.228 -4.157 4.436 Ti
-9.683 -4.867 6.583 Ti
-2.108 -1.965 -0.045 Ti
-5.555 -2.673 2.097 Ti
-8.960 -3.373 4.212 Ti
-12.407 -4.082 6.354 Ti
-0.709 -1.491 2.362 Ti
-4.157 -2.199 4.503 Ti
-7.562 -2.899 6.619 Ti
-11.009 -3.608 8.761 Ti
-3.439 -0.707 2.137 Al
-6.889 -1.416 4.280 Al
-10.338 -2.125 6.423 Al
0.000 0.000 0.000 Rh

=====

TiAlRh3 (GGA-PBE, relaxed); space-group type = No. 221; calculated formation energy = 168 meV/atom; magnetic moment = 0.000 μB/f.u.; volume = 16.88 Å³/atom; offset from the most stable computed form = 0 meV/atom; crystal system = cubic
1.0
4.387 0.000 0.000
0.000 4.387 0.000
0.000 0.000 4.387
Rh Al Ti
3 1 1
Cartesian
0.000 2.193 0.000 Rh
0.000 0.000 2.193 Rh
2.193 0.000 0.000 Rh
0.000 0.000 0.000 Al
2.193 2.193 2.193 Ti

=====

Ti4Al2Rh (GGA-PBE, relaxed); space-group type = No. 139; calculated formation energy = 350 meV/atom; magnetic moment = 0.000 μB/f.u.; volume = 20.63 Å³/atom; crystal system = tetragonal
1.0
4.569 0.000 0.000
0.000 4.569 0.000
2.284 2.284 6.919
Rh Al Ti
1 2 4
Cartesian
0.000 0.000 0.000 Rh
2.284 2.284 1.740 Al
4.569 4.569 5.178 Al
2.284 2.284 4.418 Ti
4.569 4.569 2.501 Ti
0.000 2.284 0.000 Ti
2.284 0.000 0.000 Ti

=====

Ti3AlRh4 (GGA-PBE, relaxed); space-group type = No. 51; calculated formation energy = -845 meV/atom; magnetic moment = 0.000 μB/f.u.; volume = 14.69 Å³/atom; crystal system = orthorhombic
1.0
4.436 0.000 0.000
0.000 5.970 0.000
0.000 0.000 8.874
Rh Al Ti
8 2 6
Cartesian
2.218 4.481 0.000 Rh
2.218 4.481 4.437 Rh
2.218 1.489 0.000 Rh
2.218 1.489 4.437 Rh
0.062 4.479 6.656 Rh
4.374 4.479 2.219 Rh
4.374 1.491 2.219 Rh
0.062 1.491 6.656 Rh
0.000 2.985 0.000 Al
0.000 2.985 4.437 Al
0.000 0.000 0.000 Ti
0.000 0.000 4.437 Ti
2.264 0.000 6.656 Ti
2.172 0.000 2.219 Ti
2.275 2.985 6.656 Ti
2.161 2.985 2.219 Ti

=====

Ti6AlRh (GGA-PBE, relaxed); space-group type = No. 12; calculated formation energy = -247 meV/atom; magnetic moment = 0.000 μB/f.u.; volume = 16.56 Å³/atom; offset from the most stable computed form = 0 meV/atom; crystal system = monoclinic
1.0
-3.136 1.145 -3.990
-3.075 -2.659 3.247
4.748 5.776 2.996
Ti Al Rh
6 1 1
Cartesian
1.107 3.522 1.842 Ti
-1.343 1.900 -1.808 Ti
-2.570 0.739 0.410 Ti
-0.157 4.683 -0.356 Ti
-0.120 2.361 4.061 Ti
-1.306 -0.421 2.608 Ti
0.000 0.000 0.000 Al
-0.732 2.131 1.126 Rh

=====

TiAlRh6 (GGA-PBE, relaxed); space-group type = No. 123; calculated formation energy = -555 meV/atom; magnetic moment = 0.000 μB/f.u.; volume = 14.20 Å³/atom; crystal system = tetragonal
1.0
3.831 0.000 0.000
0.000 5.446 -0.034
0.000 0.035 5.446
Ti Al Rh
1 1 6
Cartesian
1.915 0.000 0.000 Ti
1.915 2.740 2.706 Al
0.000 4.079 1.350 Rh
0.000 1.402 4.062 Rh
0.000 4.099 4.047 Rh
0.000 1.382 1.365 Rh
1.915 2.723 -0.017 Rh
1.915 0.018 2.723 Rh

=====

Ti5AlRh6 (GGA-PBE, relaxed); space-group type = No. 12; calculated formation energy = -828 meV/atom; magnetic moment = 0.002 μB/f.u.; volume = 14.74 Å³/atom; crystal system = monoclinic
1.0
-0.862 -3.622 -1.946
6.013 -1.213 4.120
-6.062 1.828 3.810
Rh Al Ti
6 1 5
Cartesian
-2.236 -0.205 1.369 Rh
-2.714 -1.784 4.511 Rh
-0.640 -2.499 0.400 Rh
-0.271 -0.508 5.584 Rh
1.803 -1.222 1.473 Rh
1.325 -2.802 4.615 Rh
0.000 0.000 0.000 Al
-4.414 -0.506 2.890 Ti
-1.898 0.780 3.917 Ti
-0.456 -1.503 2.992 Ti
1.849 -0.164 4.013 Ti
3.503 -2.500 3.094 Ti

=====

Ti8Al2Rh (GGA-PBE, relaxed); space-group type = No. 71; calculated formation energy = -270 meV/atom; magnetic moment = 0.000 μB/f.u.; volume = 16.79 Å³/atom; offset from the most stable computed form = 0 meV/atom; crystal system = orthorhombic
1.0
-3.812 -1.276 2.064
-3.176 1.150 -5.155
4.495 -6.175 -0.463
Ti Al Rh
8 2 1
Cartesian
-2.493 -2.048 -0.924 Ti
1.449 -4.777 -0.276 Ti
0.352 -2.196 -0.708 Ti
-2.319 0.839 -3.764 Ti
-2.845 -4.106 -2.846 Ti
-3.943 -1.524 -3.277 Ti
-0.001 -4.254 -2.630 Ti
-0.175 -7.141 0.210 Ti
-1.210 -1.779 -3.335 Al
-1.283 -4.523 -0.219 Al
-1.906 -0.638 1.032 Rh

=====

TiAlRh3 (GGA-PBE, relaxed); space-group type = No. 221; calculated formation energy = 402 meV/atom; magnetic moment = 0.000 μB/f.u.; volume = 18.34 Å³/atom; offset from the most stable computed form = 234 meV/atom; crystal system = cubic
1.0
-3.049 3.318 0.178
-3.320 -3.031 -0.362
-0.146 -0.376 4.492
Rh Al Ti
3 1 1
Cartesian
-1.660 -1.515 -0.181 Rh
-0.073 -0.188 2.246 Rh
-1.524 1.659 0.089 Rh
-3.257 -0.044 2.154 Al
0.000 0.000 0.000 Ti

=====

Ti6AlRh2 (GGA-PBE, relaxed); space-group type = No. 12; calculated formation energy = -450 meV/atom; magnetic moment = 0.003 μB/f.u.; volume = 15.76 Å³/atom; crystal system = monoclinic
1.0
3.055 0.000 0.485
1.351 4.899 1.358
0.064 -0.116 9.461
Ti Al Rh
6 1 2
Cartesian
2.793 2.574 2.139 Ti
1.677 2.210 9.165 Ti
2.093 3.725 6.548 Ti
3.982 3.346 4.511 Ti
0.488 1.438 6.793 Ti
2.377 1.058 4.756 Ti
0.000 0.000 0.000 Al
1.185 0.519 2.402 Rh
3.285 4.264 8.902 Rh